1.
First-principles (PBEsol) data for a relaxed MnSb2Mo crystal, as listed in Alexandria via LeMat-Bulk.

The structure in POSCAR format:
```
MnSb2Mo
1.0
-4.0245 -2.1402 -0.0264
-0.4015 -4.1225 1.9029
-2.3402 -0.5014 3.8794
Mn Mo Sb
1 1 2
direct
0.0000 0.0000 0.0000
0.5000 0.5000 0.5000
0.2500 0.2500 0.2500
0.7500 0.7500 0.7500
```

Summary:
Uncorrected formation energy: 0.311 eV/atom
Space group: Fm-3m

***

2.
First-principles (PBEsol) data for a relaxed La2HgAs2 crystal, as listed in Alexandria via LeMat-Bulk.

The structure in POSCAR format:
```
La2HgAs2
1.0
-1.5991 -5.6509 0.2741
4.2401 1.6771 -3.7398
5.5836 -1.5305 1.0229
As Hg La
2 1 2
direct
0.6832 0.3664 0.3168
0.3168 0.6336 0.6832
0.0000 0.0000 0.0000
0.7500 0.5000 0.7500
0.2500 0.5000 0.2500
```

Summary:
ΔH_f (0 K): -17.1 kcal/mol of atoms
Space group: I4/mmm

***

3.
First-principles (PBEsol) data for a relaxed CaYIn2C crystal, as listed in Alexandria via LeMat-Bulk.

The structure in POSCAR format:
```
CaYIn2C
1.0
-3.1696 -1.3127 -3.2611
2.9920 -3.5183 -1.4918
-2.0103 -3.0604 3.1857
Y Ca C In
1 1 1 2
direct
0.5000 0.5000 0.5000
0.5000 0.0000 0.0000
0.0000 0.0000 0.0000
0.0000 0.0000 0.5000
0.0000 0.5000 0.0000
```

Summary:
ΔH_f (0 K): 8.0 kcal/mol of atoms
Space group: P4/mmm

***

4.
First-principles (PBEsol) data for a relaxed Cd2Pd2Au crystal, as listed in Alexandria via LeMat-Bulk.

The structure in POSCAR format:
```
Cd2Pd2Au
1.0
-3.0451 0.3464 1.9868
3.3614 -2.4700 5.5825
1.8730 6.4828 1.7405
Au Pd Cd
2 4 4
direct
0.0000 0.0000 0.0000
0.0000 0.5000 0.5000
0.0000 0.3644 0.8644
0.0000 0.8644 0.6356
0.0000 0.6356 0.1356
0.0000 0.1356 0.3644
0.5000 0.1645 0.6645
0.5000 0.6645 0.8355
0.5000 0.8355 0.3355
0.5000 0.3355 0.1645
```

Summary:
ΔH_f (0 K): -5.3 kcal/mol of atoms
Space group: P4/mbm

***

Number 1: magnetic moment 1.11 μB per cell, E -29.40 eV/cell, DOS at the Fermi energy 4.02 states/eV per cell. Number 2: magnetic moment 0.00 μB per cell, E -25.18 eV/cell, DOS at the Fermi energy 4.12 states/eV per cell. Number 3: magnetic moment 0.00 μB per cell, E -22.82 eV/cell, DOS at the Fermi energy 2.50 states/eV per cell. Number 4: magnetic moment 0.00 μB per cell, E -38.76 eV/cell, DOS at the Fermi energy 3.60 states/eV per cell.